# LaPrHgIr

A relaxed structure of LaPrHgIr (PBE, Alexandria via LeMat-Bulk). Values from VASP.

Cell and atoms, written as Quantum ESPRESSO input:
```
&SYSTEM
  ibrav = 0, nat = 4, ntyp = 4
/
ATOMIC_SPECIES
La 138.91 La.upf
Pr 140.91 Pr.upf
Hg 200.59 Hg.upf
Ir 192.22 Ir.upf
ATOMIC_POSITIONS angstrom
La 0.000 0.000 0.000
Pr 3.725 3.725 3.725
Hg 5.587 5.587 5.587
Ir 1.862 1.862 1.862
CELL_PARAMETERS angstrom
0.000 3.725 3.725
3.725 0.000 3.725
3.725 3.725 0.000
```

Properties
V   25.84 Å³ per atom
Fermi-level density of states   2.12 states/eV/cell
SG   No. 216
Formation energy from the elements   -489.9 meV per atom
Crystal system   cubic
M_tot   0.000 μB per atom
Polymorph energy (0 for the lowest one)   97.8 meV/atom
Total energy   -5.2073 eV/atom